# GGA-PBE Sr2SiNi, optimized geometry
# E_tot: -3.3748 eV/atom
# crystal system: orthorhombic
# spin magnetization: 0.934 μB/f.u.
# raw formation energy: 25.8 kJ/mol of atoms
# calculated density: 3635 kg/m³
# V: 119.7 Å³ per cell
data_Sr2SiNi
_symmetry_space_group_name_H-M 'P m m 2'
_symmetry_Int_Tables_number 25
_symmetry_space_group_name_Hall 'P 2 -2'
_cell_length_a 3.776
_cell_length_b 5.066
_cell_length_c 6.257
_cell_angle_alpha 90.00
_cell_angle_beta 90.00
_cell_angle_gamma 90.00
loop_
_atom_site_label
_atom_site_type_symbol
_atom_site_fract_x
_atom_site_fract_y
_atom_site_fract_z
_atom_site_occupancy
Sr1 Sr 0.000 0.000 0.000 1
Sr2 Sr 0.500 0.500 0.492 1
Si1 Si 0.500 0.500 0.991 1
Ni1 Ni 0.000 0.000 0.502 1